Compound: Ta2TlIr
Source: Alexandria
Functional: GGA-PBEsol
Structure: relaxed

a b c (Å): 3.9757 3.9757 8.8124
angles (deg): 90.00 90.00 90.00
Closest atoms and distances in Å follow each position.
Space group I-4m2 (No. 119)
Inequivalent atoms, fractional coordinates:
1 Ta 0.0000 0.0000 0.0000 (multiplicity 2)  4 Tl 2.81, 4 Ta 2.97, 4 Ir 2.97
2 Ta 0.0000 0.5000 0.2500 (multiplicity 2)  4 Ir 2.81, 4 Ta 2.97, 4 Tl 2.97
3 Tl 0.0000 0.0000 0.5000 (multiplicity 2)  8 Ta 2.81-2.97, 4 Ir 2.97
4 Ir 0.0000 0.5000 0.7500 (multiplicity 2)  8 Ta 2.81-2.97, 4 Tl 2.97

Properties
M_tot (μB/atom): 0.000
Theoretical density (g cm⁻³): 18.08
E (eV per atom): -9.1717